(1)
GaPRh: relaxed, GGA-PBE.

Structure (CIF):
```
data_GaPRh
_symmetry_space_group_name_H-M 'P 1'
_symmetry_Int_Tables_number 1
_cell_length_a 7.568
_cell_length_b 3.923
_cell_length_c 6.837
_cell_angle_alpha 90.00
_cell_angle_beta 107.78
_cell_angle_gamma 90.00
loop_
_symmetry_equiv_pos_as_xyz
'x,y,z'
loop_
_atom_site_label
_atom_site_fract_x
_atom_site_fract_y
_atom_site_fract_z
_atom_site_occupancy
Rh1 0.000 0.000 0.000 1
Rh2 0.500 0.500 0.000 1
Rh3 0.000 0.500 0.500 1
Rh4 0.500 0.000 0.500 1
Ga1 0.354 0.500 0.619 1
Ga2 0.646 0.500 0.381 1
Ga3 0.646 0.000 0.881 1
Ga4 0.354 0.000 0.119 1
P1 0.849 0.000 0.617 1
P2 0.849 0.500 0.117 1
P3 0.151 0.000 0.383 1
P4 0.151 0.500 0.883 1
```

As for the formation energy: -0.417 eV per atom. As for the spin magnetization: 0.0 μB/f.u. The density of states at the Fermi level comes out at 0.948 states/eV/f.u. As for the space-group type: C2/m, No. 12. Its offset from the most stable computed form is 0.14 eV/f.u.

***

(2)
Ac4Rh6O19: relaxed, GGA-PBE.

Structure (CIF):
```
data_Ac4Rh6O19
_symmetry_space_group_name_H-M 'P 1'
_symmetry_Int_Tables_number 1
_cell_length_a 7.955
_cell_length_b 7.955
_cell_length_c 7.955
_cell_angle_alpha 109.47
_cell_angle_beta 109.47
_cell_angle_gamma 109.47
loop_
_symmetry_equiv_pos_as_xyz
'x,y,z'
loop_
_atom_site_label
_atom_site_fract_x
_atom_site_fract_y
_atom_site_fract_z
_atom_site_occupancy
O1 0.358 0.748 0.037 1
O2 0.389 0.642 0.679 1
O3 0.353 0.000 0.353 1
O4 0.252 0.611 0.289 1
O5 0.642 0.679 0.389 1
O6 0.353 0.353 0.000 1
O7 0.037 0.358 0.748 1
O8 0.679 0.389 0.642 1
O9 0.647 0.647 0.000 1
O10 0.289 0.252 0.611 1
O11 0.000 0.353 0.353 1
O12 0.611 0.289 0.252 1
O13 0.321 0.963 0.711 1
O14 0.647 0.000 0.647 1
O15 0.000 0.647 0.647 1
O16 0.963 0.711 0.321 1
O17 0.000 0.000 0.000 1
O18 0.748 0.037 0.358 1
O19 0.711 0.321 0.963 1
Rh1 0.661 0.500 0.161 1
Rh2 0.500 0.161 0.661 1
Rh3 0.500 0.839 0.339 1
Rh4 0.161 0.661 0.500 1
Rh5 0.839 0.339 0.500 1
Rh6 0.339 0.500 0.839 1
Ac1 0.672 0.000 0.000 1
Ac2 0.000 0.000 0.672 1
Ac3 0.328 0.328 0.328 1
Ac4 0.000 0.672 0.000 1
```

As for the spin magnetization: 3.6 μB/f.u. The density of states at the Fermi level comes out at 22.308 states/eV/f.u. As for the space-group type: I23, No. 197. For the uncorrected formation energy, the calculation gives -49.3 eV/f.u.

***

(3)
Ba3NdIn2O6: relaxed, GGA-PBE.

Structure (CIF):
```
data_Ba3NdIn2O6
_symmetry_space_group_name_H-M 'P 1'
_symmetry_Int_Tables_number 1
_cell_length_a 6.320
_cell_length_b 6.320
_cell_length_c 7.217
_cell_angle_alpha 90.00
_cell_angle_beta 90.00
_cell_angle_gamma 120.00
loop_
_symmetry_equiv_pos_as_xyz
'x,y,z'
loop_
_atom_site_label
_atom_site_fract_x
_atom_site_fract_y
_atom_site_fract_z
_atom_site_occupancy
Nd1 0.000 0.000 0.500 1
Ba1 0.667 0.333 0.379 1
Ba2 0.000 0.000 0.000 1
Ba3 0.333 0.667 0.621 1
O1 0.659 0.829 0.307 1
O2 0.829 0.659 0.693 1
O3 0.341 0.171 0.693 1
O4 0.171 0.829 0.307 1
O5 0.171 0.341 0.307 1
O6 0.829 0.171 0.693 1
In1 0.667 0.333 0.856 1
In2 0.333 0.667 0.144 1
```

As for the spin magnetization: 0.0 μB/f.u. The density of states at the Fermi level comes out at 3.630 states/eV/f.u. As for the space-group type: P-3m1, No. 164. For the uncorrected formation energy, the calculation gives -26.6 eV/f.u.

***

(4)
BaTaFe2Se8: relaxed, GGA-PBE.

Structure (CIF):
```
data_BaTaFe2Se8
_symmetry_space_group_name_H-M 'P 1'
_symmetry_Int_Tables_number 1
_cell_length_a 6.390
_cell_length_b 6.390
_cell_length_c 8.675
_cell_angle_alpha 90.00
_cell_angle_beta 90.00
_cell_angle_gamma 120.00
loop_
_symmetry_equiv_pos_as_xyz
'x,y,z'
loop_
_atom_site_label
_atom_site_fract_x
_atom_site_fract_y
_atom_site_fract_z
_atom_site_occupancy
Fe1 0.333 0.667 0.749 1
Fe2 0.667 0.333 0.251 1
Se1 0.338 0.016 0.671 1
Se2 0.678 0.662 0.671 1
Se3 0.016 0.678 0.329 1
Se4 0.984 0.322 0.671 1
Se5 0.662 0.984 0.329 1
Se6 0.667 0.333 0.994 1
Se7 0.322 0.338 0.329 1
Se8 0.333 0.667 0.006 1
Ta1 0.000 0.000 0.500 1
Ba1 0.000 0.000 0.000 1
```

As for the spin magnetization: 6.7 μB/f.u. The density of states at the Fermi level comes out at 6.585 states/eV/f.u. As for the space-group type: P-3, No. 147. For the uncorrected formation energy, the calculation gives -5.6 eV/f.u.

***

(5)
Nd4Th3Te8: relaxed, GGA-PBE.

Structure (CIF):
```
data_Nd4Th3Te8
_symmetry_space_group_name_H-M 'P 1'
_symmetry_Int_Tables_number 1
_cell_length_a 8.945
_cell_length_b 8.927
_cell_length_c 8.927
_cell_angle_alpha 89.94
_cell_angle_beta 120.13
_cell_angle_gamma 120.13
loop_
_symmetry_equiv_pos_as_xyz
'x,y,z'
loop_
_atom_site_label
_atom_site_fract_x
_atom_site_fract_y
_atom_site_fract_z
_atom_site_occupancy
Te1 0.481 0.741 0.741 1
Te2 0.000 0.742 0.258 1
Te3 0.999 0.742 0.742 1
Te4 0.500 0.250 0.750 1
Te5 0.500 0.750 0.250 1
Te6 0.001 0.258 0.258 1
Te7 0.000 0.258 0.742 1
Te8 0.519 0.259 0.259 1
Nd1 0.000 0.500 0.000 1
Nd2 0.500 0.000 0.000 1
Nd3 0.000 0.000 0.500 1
Nd4 0.000 0.000 0.000 1
Th1 0.500 0.500 0.500 1
Th2 0.500 0.000 0.500 1
Th3 0.500 0.500 0.000 1
```

As for the spin magnetization: 0.0 μB/f.u. The density of states at the Fermi level comes out at 11.378 states/eV/f.u. As for the space-group type: C2/m, No. 12. For the uncorrected formation energy, the calculation gives -19.4 eV/f.u.

***

(6)
Tb8NdDy6: relaxed, GGA-PBE.

Structure (CIF):
```
data_Tb8NdDy6
_symmetry_space_group_name_H-M 'P 1'
_symmetry_Int_Tables_number 1
_cell_length_a 9.045
_cell_length_b 9.045
_cell_length_c 8.631
_cell_angle_alpha 58.40
_cell_angle_beta 58.40
_cell_angle_gamma 60.00
loop_
_symmetry_equiv_pos_as_xyz
'x,y,z'
loop_
_atom_site_label
_atom_site_fract_x
_atom_site_fract_y
_atom_site_fract_z
_atom_site_occupancy
Dy1 0.105 0.236 0.121 1
Dy2 0.538 0.105 0.121 1
Dy3 0.764 0.462 0.879 1
Dy4 0.462 0.895 0.879 1
Dy5 0.236 0.538 0.121 1
Dy6 0.895 0.764 0.879 1
Tb1 0.280 0.889 0.576 1
Tb2 0.423 0.423 0.730 1
Tb3 0.111 0.745 0.424 1
Tb4 0.720 0.111 0.424 1
Tb5 0.889 0.255 0.576 1
Tb6 0.577 0.577 0.270 1
Tb7 0.745 0.720 0.424 1
Tb8 0.255 0.280 0.576 1
Nd1 0.000 0.000 0.000 1
```

As for the formation energy: 0.131 eV per atom. As for the spin magnetization: 0.0 μB/f.u. The density of states at the Fermi level comes out at 22.277 states/eV/f.u. As for the space-group type: R-3, No. 148.

***

> Look up the spin magnetization of the second one.

3.6 μB/f.u.